VASP calculation (PBE-GGA) on a geometry-optimized KAgHg14 structure.

The calculation puts the energy of formation at -46 meV per atom. As for the total magnetic moment: 0.000 μB/atom. The crystal system is monoclinic. Its density is 10.6 Mg/m³.

a b c (Å): 13.922 12.564 11.399
angles (deg): 90.00 112.10 90.00
Space group C2/c (No. 15)
Unique sites:
K 0.000 0.183 0.250 (multiplicity 4)
Ag 0.250 0.250 0.000 (multiplicity 4)
Hg 0.022 0.277 0.911 (multiplicity 8)
Hg 0.027 0.449 0.395 (multiplicity 8)
Hg 0.086 0.057 0.627 (multiplicity 8)
Hg 0.161 0.036 0.923 (multiplicity 8)
Hg 0.174 0.413 0.801 (multiplicity 8)
Hg 0.197 0.345 0.207 (multiplicity 8)
Hg 0.215 0.328 0.576 (multiplicity 8)